(1)
Material: Sm3Se2S
Method: DFT, GGA-PBE
State: relaxed

## Properties
SG: P-3m1
VASP energy, eV per atom: -6.093
V, A^3/atom: 24.63
M_tot, μB/f.u.: 0.0

Cell lengths 4.1102, 4.1102, 10.1022 Å; angles 90.00, 90.00, 120.00 degrees
With the nearest neighbours (Å) after each atom.
Positions (direct):
Sm 0.3333 0.6667 0.6533  3 S 2.83, 3 Se 2.96
Sm 0.6667 0.3333 0.3467  3 S 2.83, 3 Se 2.96
Se 0.3333 0.6667 0.1717  6 Sm 2.94-2.96
Se 0.6667 0.3333 0.8283  6 Sm 2.94-2.96
Sm 0.0000 0.0000 0.0000  6 Se 2.94
S 0.0000 0.0000 0.5000  6 Sm 2.83


(2)
Material: Hf2ScSi4Ni4
Method: DFT, GGA-PBE
State: relaxed

## Properties
SG: Immm
VASP energy, eV per atom: -7.244
V, A^3/atom: 14.16
M_tot, μB/f.u.: 0.0

Cell lengths 7.3516, 7.3516, 7.3516 Å; angles 149.71, 128.41, 61.01 degrees
With the nearest neighbours (Å) after each atom.
Positions (direct):
Si 0.2150 0.2150 0.0000  6 Ni 2.36-2.37
Si 0.3079 0.5000 0.8079  2 Ni 2.34, 1 Si 2.46
Si 0.7850 0.7850 0.0000  6 Ni 2.36-2.37
Hf 0.6260 0.1260 0.5000  6 Si 2.78, 6 Ni 2.79-2.81
Si 0.6921 0.5000 0.1921  2 Ni 2.34, 1 Si 2.46
Hf 0.3740 0.8740 0.5000  6 Si 2.78, 6 Ni 2.79-2.81
Ni 0.0237 0.3239 0.6997  4 Si 2.34-2.37, 1 Ni 2.56
Ni 0.9763 0.6761 0.3003  4 Si 2.34-2.37, 1 Ni 2.56
Ni 0.3758 0.6761 0.6997  4 Si 2.34-2.37, 1 Ni 2.56
Sc 0.0000 0.0000 0.0000  6 Si 2.72-2.75
Ni 0.6242 0.3239 0.3003  4 Si 2.34-2.37, 1 Ni 2.56


(3)
Material: PrB12
Method: DFT, GGA-PBE
State: relaxed

## Properties
SG: Fm-3m
VASP energy, eV per atom: -6.722
V, A^3/atom: 8.36
M_tot, μB/f.u.: 0.0

Cell lengths 5.3563, 5.3563, 5.3563 Å; angles 60.00, 60.00, 60.00 degrees
With the nearest neighbours (Å) after each atom.
Positions (direct):
B 0.5000 0.8367 0.1633  5 B 1.75-1.80
B 0.1633 0.5000 0.8367  5 B 1.75-1.80
B 0.5000 0.5000 0.8367  5 B 1.75-1.80
B 0.5000 0.8367 0.5000  5 B 1.75-1.80
B 0.8367 0.5000 0.1633  5 B 1.75-1.80
B 0.5000 0.5000 0.1633  5 B 1.75-1.80
Pr 0.0000 0.0000 0.0000  24 B 2.82
B 0.8367 0.1633 0.5000  5 B 1.75-1.80
B 0.8367 0.5000 0.5000  5 B 1.75-1.80
B 0.5000 0.1633 0.8367  5 B 1.75-1.80
B 0.1633 0.8367 0.5000  5 B 1.75-1.80
B 0.5000 0.1633 0.5000  5 B 1.75-1.80
B 0.1633 0.5000 0.5000  5 B 1.75-1.80


(4)
Material: ScNiB4
Method: DFT, GGA-PBE
State: relaxed

## Properties
SG: P6/mmm
VASP energy, eV per atom: -6.875
V, A^3/atom: 8.59
M_tot, μB/f.u.: 0.0
Offset from the most stable computed form, eV per atom: 0.124

Cell lengths 3.0964, 3.0964, 6.2098 Å; angles 90.00, 90.00, 120.00 degrees
With the nearest neighbours (Å) after each atom.
Positions (direct):
B 0.3333 0.6667 0.2259  3 B 1.79
Sc 0.0000 0.0000 0.5000  12 B 2.47
Ni 0.0000 0.0000 0.0000  12 B 2.27
B 0.3333 0.6667 0.7741  3 B 1.79
B 0.6667 0.3333 0.7741  3 B 1.79
B 0.6667 0.3333 0.2259  3 B 1.79


(5)
Material: SrPrAuS3
Method: DFT, GGA-PBE
State: relaxed

## Properties
SG: P2_1/m
VASP energy, eV per atom: -5.202
V, A^3/atom: 25.25
M_tot, μB/f.u.: 0.0
Offset from the most stable computed form, eV per atom: 0.020

Cell lengths 7.9981, 4.0753, 9.5598 Å; angles 90.00, 103.50, 90.00 degrees
With the nearest neighbours (Å) after each atom.
Positions (direct):
Sr 0.7694 0.7500 0.2217  6 S 3.04-3.11, 1 Au 3.34
Pr 0.6909 0.2500 0.6608  6 S 2.87-2.91
S 0.0569 0.2500 0.3406  1 Au 2.52
S 0.9431 0.7500 0.6594  1 Au 2.52
Sr 0.2306 0.2500 0.7783  6 S 3.04-3.11, 1 Au 3.34
S 0.2793 0.7500 0.0305  2 Au 2.58
Pr 0.3091 0.7500 0.3392  6 S 2.87-2.91
S 0.5695 0.2500 0.3530  3 Pr 2.87-2.89, 2 Sr 3.04
Au 0.1124 0.2500 0.0913  3 S 2.52-2.58
Au 0.8876 0.7500 0.9087  3 S 2.52-2.58
S 0.4305 0.7500 0.6470  3 Pr 2.88-2.89, 2 Sr 3.04
S 0.7207 0.2500 0.9695  2 Au 2.58


(6)
Material: ZrAlCuNi
Method: DFT, GGA-PBE
State: relaxed

## Properties
SG: P6_3mc
VASP energy, eV per atom: -5.884
V, A^3/atom: 15.14
M_tot, μB/f.u.: 0.0

Cell lengths 4.1806, 4.1806, 8.0038 Å; angles 90.00, 90.00, 120.00 degrees
With the nearest neighbours (Å) after each atom.
Positions (direct):
Ni 0.6667 0.3333 0.0808  3 Al 2.48, 4 Cu 2.65-2.77, 4 Zr 2.67-2.76
Cu 0.6667 0.3333 0.4122  3 Al 2.54, 4 Ni 2.65-2.77, 4 Zr 2.68-2.75
Al 0.0000 0.0000 0.0099  3 Ni 2.48, 3 Cu 2.54
Al 0.0000 0.0000 0.5099  3 Ni 2.48, 3 Cu 2.54
Cu 0.3333 0.6667 0.9122  3 Al 2.54, 4 Ni 2.65-2.77, 4 Zr 2.68-2.75
Ni 0.3333 0.6667 0.5808  3 Al 2.48, 4 Cu 2.65-2.77, 4 Zr 2.67-2.76
Zr 0.6667 0.3333 0.7471  4 Ni 2.67-2.76, 4 Cu 2.68-2.75
Zr 0.3333 0.6667 0.2471  4 Ni 2.67-2.76, 4 Cu 2.68-2.75


(7)
Material: GdThZn
Method: DFT, GGA-PBE
State: relaxed

## Properties
SG: F-43m
Formation energy from the elements, eV/atom: 0.12
VASP energy, eV per atom: -4.320
V, A^3/atom: 29.21
M_tot, μB/f.u.: 0.3

Cell lengths 4.9857, 4.9857, 4.9857 Å; angles 60.00, 60.00, 60.00 degrees
With the nearest neighbours (Å) after each atom.
Positions (direct):
Gd 0.2500 0.2500 0.2500  4 Zn 3.05
Zn 0.0000 0.0000 0.0000  4 Gd 3.05, 4 Th 3.05
Th 0.7500 0.7500 0.7500  4 Zn 3.05


(8)
Material: La2Fe2Ge
Method: DFT, GGA-PBE
State: relaxed

## Properties
SG: Cmcm
VASP energy, eV per atom: -6.473
V, A^3/atom: 22.22
M_tot, μB/f.u.: 2.6

Cell lengths 12.1834, 12.1834, 4.2524 Å; angles 90.00, 90.00, 159.39 degrees
With the nearest neighbours (Å) after each atom.
Positions (direct):
La 0.5656 0.4344 0.2500  10 Fe 3.02-3.26, 2 Ge 3.18
Fe 0.8858 0.1142 0.2500  1 Fe 2.22, 2 Ge 2.49
Fe 0.0215 0.9785 0.7500  3 Fe 2.22-2.36
La 0.4344 0.5656 0.7500  10 Fe 3.02-3.26, 2 Ge 3.18
Fe 0.9785 0.0215 0.2500  3 Fe 2.22-2.36
Ge 0.3359 0.6641 0.2500  2 Fe 2.49
La 0.1986 0.8014 0.2500  2 Fe 2.94, 4 Ge 3.16
Fe 0.1142 0.8858 0.7500  1 Fe 2.22, 2 Ge 2.49
Ge 0.6641 0.3359 0.7500  2 Fe 2.49
La 0.8014 0.1986 0.7500  2 Fe 2.94, 4 Ge 3.16


(9)
Material: FeCoTcSb
Method: DFT, GGA-PBE
State: relaxed

## Properties
SG: F-43m
VASP energy, eV per atom: -7.360
V, A^3/atom: 14.33
M_tot, μB/f.u.: 4.6
Offset from the most stable computed form, eV per atom: 0.000

Cell lengths 4.3277, 4.3277, 4.3277 Å; angles 60.00, 60.00, 60.00 degrees
With the nearest neighbours (Å) after each atom.
Positions (direct):
Sb 0.0000 0.0000 0.0000  4 Co 2.65, 4 Tc 2.65
Co 0.7500 0.7500 0.7500  4 Sb 2.65, 4 Fe 2.65
Fe 0.5000 0.5000 0.5000  4 Tc 2.65, 4 Co 2.65
Tc 0.2500 0.2500 0.2500  4 Fe 2.65, 4 Sb 2.65


(10)
Material: HoSi
Method: DFT, GGA-PBE
State: relaxed

## Properties
SG: Cmcm
VASP energy, eV per atom: -5.830
V, A^3/atom: 21.30
M_tot, μB/f.u.: 0.0

Cell lengths 3.8208, 5.6588, 5.6588 Å; angles 44.15, 90.00, 90.00 degrees
With the nearest neighbours (Å) after each atom.
Positions (direct):
Ho 0.0000 0.8595 0.8595  7 Si 2.94-3.12
Si 0.5000 0.4230 0.4230  2 Si 2.50
Si 0.0000 0.5769 0.5769  2 Si 2.50
Ho 0.5000 0.1407 0.1407  7 Si 2.94-3.12


(11)
Material: K2RbZn2F7
Method: DFT, GGA-PBE
State: relaxed

## Properties
SG: I4/mmm
VASP energy, eV per atom: -4.130
V, A^3/atom: 14.21

Cell lengths 10.8619, 10.8619, 10.8619 Å; angles 158.60, 158.60, 30.45 degrees
With the nearest neighbours (Å) after each atom.
Positions (direct):
Zn 0.0987 0.0987 0.0000  6 F 2.02-2.07
F 0.9016 0.4016 0.5000  2 Zn 2.02
K 0.6863 0.6863 0.0000  5 F 2.49-2.73
F 0.8051 0.8051 0.0000  1 Zn 2.02
F 0.0000 0.0000 0.0000  2 Zn 2.07
Rb 0.5000 0.5000 0.0000  12 F 2.85-2.88
F 0.1949 0.1949 0.0000  1 Zn 2.02
F 0.0984 0.5984 0.5000  2 Zn 2.02
K 0.3137 0.3137 0.0000  5 F 2.49-2.73
Zn 0.9013 0.9013 0.0000  6 F 2.02-2.07
F 0.4016 0.9016 0.5000  2 Zn 2.02
F 0.5984 0.0984 0.5000  2 Zn 2.02


(12)
Material: Y6Al43Mo4
Method: DFT, GGA-PBE
State: relaxed

## Properties
SG: P6_3/mcm
VASP energy, eV per atom: -4.907
V, A^3/atom: 17.56
M_tot, μB/f.u.: 0.0

Cell lengths 11.0014, 11.0014, 17.7558 Å; angles 90.00, 90.00, 120.00 degrees
With the nearest neighbours (Å) after each atom.
Positions (direct):
Al 0.6061 0.7638 0.6640  1 Mo 2.72, 7 Al 2.72-3.00
Al 0.1594 0.1594 0.8854  2 Mo 2.69-2.70, 7 Al 2.73-2.94
Al 0.2362 0.3939 0.1640  1 Mo 2.72, 7 Al 2.72-3.00
Al 0.6667 0.3333 0.8743  9 Al 2.72-2.84
Al 0.4483 0.5961 0.2500  1 Mo 2.68, 7 Al 2.74-2.84
Al 0.2470 0.7530 0.0000  6 Al 2.73-2.85
Mo 0.2703 0.2703 0.7500  10 Al 2.58-2.72
Al 0.2362 0.3939 0.3360  1 Mo 2.72, 7 Al 2.72-3.00
Al 0.4039 0.5517 0.7500  1 Mo 2.68, 7 Al 2.74-2.84
Al 0.1576 0.7638 0.1640  1 Mo 2.72, 7 Al 2.72-3.00
Al 0.0000 0.1474 0.7500  2 Mo 2.58, 6 Al 2.81-2.83
Al 0.8522 0.4483 0.7500  1 Mo 2.68, 7 Al 2.74-2.84
Al 0.7530 0.2470 0.0000  6 Al 2.73-2.85
Al 0.3939 0.1577 0.6640  1 Mo 2.72, 7 Al 2.72-3.00
Al 0.3333 0.6667 0.6257  9 Al 2.72-2.84
Al 0.1577 0.3939 0.8360  1 Mo 2.72, 7 Al 2.72-3.00
Al 0.8526 0.8526 0.7500  2 Mo 2.58, 6 Al 2.81-2.83
Al 0.2470 0.7530 0.5000  6 Al 2.73-2.85
Al 0.0000 0.1594 0.3854  2 Mo 2.69-2.70, 7 Al 2.73-2.94
Al 0.5961 0.1478 0.7500  1 Mo 2.68, 7 Al 2.74-2.84
Al 0.8424 0.6061 0.1640  1 Mo 2.72, 7 Al 2.72-3.00
Al 0.5060 0.7530 0.0000  6 Al 2.73-2.85
Al 0.6667 0.3333 0.6257  9 Al 2.72-2.84
Al 0.4940 0.2470 0.0000  6 Al 2.73-2.85
Y 0.4687 0.0000 0.0954  15 Al 3.07-3.42
Mo 0.0000 0.0000 0.0000  12 Al 2.69-2.84
Al 0.8406 0.0000 0.6146  2 Mo 2.69-2.70, 7 Al 2.73-2.94
Al 0.1478 0.5961 0.7500  1 Mo 2.68, 7 Al 2.74-2.84
Y 0.0000 0.5313 0.9046  15 Al 3.07-3.42
Al 0.0000 0.8406 0.6146  2 Mo 2.69-2.70, 7 Al 2.73-2.94
Y 0.5313 0.5313 0.4046  15 Al 3.07-3.42
Mo 0.0000 0.2703 0.2500  10 Al 2.58-2.72
Al 0.6667 0.3333 0.1257  9 Al 2.72-2.84
Al 0.5060 0.7530 0.5000  6 Al 2.73-2.85
Al 0.1577 0.3939 0.6640  1 Mo 2.72, 7 Al 2.72-3.00
Al 0.4940 0.2470 0.5000  6 Al 2.73-2.85
Al 0.2470 0.4940 0.5000  6 Al 2.73-2.85
Al 0.8406 0.8406 0.3854  2 Mo 2.69-2.70, 7 Al 2.73-2.94
Al 0.0000 0.8526 0.2500  2 Mo 2.58, 6 Al 2.81-2.83
Al 0.1594 0.1594 0.6146  2 Mo 2.69-2.70, 7 Al 2.73-2.94
Mo 0.0000 0.7297 0.7500  10 Al 2.58-2.72
Y 0.4687 0.4687 0.5954  15 Al 3.07-3.42
Y 0.5313 0.5313 0.0954  15 Al 3.07-3.42
Al 0.8424 0.6061 0.3360  1 Mo 2.72, 7 Al 2.72-3.00
Y 0.5313 0.0000 0.9046  15 Al 3.07-3.42
Mo 0.0000 0.0000 0.5000  12 Al 2.69-2.84
Al 0.6667 0.3333 0.3743  9 Al 2.72-2.84
Al 0.4039 0.8522 0.2500  1 Mo 2.68, 7 Al 2.74-2.84
Al 0.8522 0.4039 0.2500  1 Mo 2.68, 7 Al 2.74-2.84
Al 0.3333 0.6667 0.8743  9 Al 2.72-2.84
Y 0.5313 0.0000 0.5954  15 Al 3.07-3.42
Al 0.8424 0.2362 0.6640  1 Mo 2.72, 7 Al 2.72-3.00
Al 0.6061 0.8424 0.1640  1 Mo 2.72, 7 Al 2.72-3.00
Al 0.0000 0.2538 0.5304  9 Al 2.73-2.99, 1 Mo 2.84
Y 0.4687 0.0000 0.4046  15 Al 3.07-3.42
Al 0.3939 0.2362 0.3360  1 Mo 2.72, 7 Al 2.72-3.00
Mo 0.7297 0.0000 0.7500  10 Al 2.58-2.72
Al 0.7462 0.7462 0.9696  9 Al 2.73-2.99, 1 Mo 2.84
Al 0.2538 0.2538 0.4696  9 Al 2.73-2.99, 1 Mo 2.84
Y 0.0000 0.4687 0.0954  15 Al 3.07-3.42
Al 0.4483 0.8522 0.7500  1 Mo 2.68, 7 Al 2.74-2.84
Al 0.0000 0.8406 0.8854  2 Mo 2.69-2.70, 7 Al 2.73-2.94
Al 0.8424 0.2362 0.8360  1 Mo 2.72, 7 Al 2.72-3.00
Al 0.8406 0.0000 0.8854  2 Mo 2.69-2.70, 7 Al 2.73-2.94
Al 0.3333 0.6667 0.1257  9 Al 2.72-2.84
Al 0.7638 0.1577 0.3360  1 Mo 2.72, 7 Al 2.72-3.00
Al 0.5961 0.4483 0.2500  1 Mo 2.68, 7 Al 2.74-2.84
Mo 0.2703 0.0000 0.2500  10 Al 2.58-2.72
Al 0.7637 0.6061 0.8360  1 Mo 2.72, 7 Al 2.72-3.00
Al 0.1478 0.5517 0.2500  1 Mo 2.68, 7 Al 2.74-2.84
Al 0.2538 0.2538 0.0304  9 Al 2.73-2.99, 1 Mo 2.84
Y 0.0000 0.5313 0.5954  15 Al 3.07-3.42
Al 0.0000 0.7462 0.4696  9 Al 2.73-2.99, 1 Mo 2.84
Al 0.5517 0.1478 0.2500  1 Mo 2.68, 7 Al 2.74-2.84
Al 0.1474 0.1474 0.2500  2 Mo 2.58, 6 Al 2.81-2.83
Al 0.7637 0.6061 0.6640  1 Mo 2.72, 7 Al 2.72-3.00
Al 0.3333 0.6667 0.3743  9 Al 2.72-2.84
Al 0.7462 0.0000 0.4696  9 Al 2.73-2.99, 1 Mo 2.84
Al 0.3939 0.1577 0.8360  1 Mo 2.72, 7 Al 2.72-3.00
Al 0.5517 0.4039 0.7500  1 Mo 2.68, 7 Al 2.74-2.84
Al 0.7530 0.2470 0.5000  6 Al 2.73-2.85
Al 0.1594 0.0000 0.1146  2 Mo 2.69-2.70, 7 Al 2.73-2.94
Al 0.3939 0.2362 0.1640  1 Mo 2.72, 7 Al 2.72-3.00
Al 0.7638 0.1577 0.1640  1 Mo 2.72, 7 Al 2.72-3.00
Al 0.7530 0.5060 0.0000  6 Al 2.73-2.85
Al 0.0000 0.7462 0.0304  9 Al 2.73-2.99, 1 Mo 2.84
Al 0.0000 0.1594 0.1146  2 Mo 2.69-2.70, 7 Al 2.73-2.94
Al 0.7530 0.5060 0.5000  6 Al 2.73-2.85
Al 0.2538 0.0000 0.9696  9 Al 2.73-2.99, 1 Mo 2.84
Mo 0.7297 0.7297 0.2500  10 Al 2.58-2.72
Y 0.4687 0.4687 0.9046  15 Al 3.07-3.42
Al 0.1474 0.0000 0.7500  2 Mo 2.58, 6 Al 2.81-2.83
Al 0.8406 0.8406 0.1146  2 Mo 2.69-2.70, 7 Al 2.73-2.94
Al 0.0000 0.2538 0.9696  9 Al 2.73-2.99, 1 Mo 2.84
Al 0.7462 0.0000 0.0304  9 Al 2.73-2.99, 1 Mo 2.84
Al 0.1576 0.7638 0.3360  1 Mo 2.72, 7 Al 2.72-3.00
Al 0.6061 0.7638 0.8360  1 Mo 2.72, 7 Al 2.72-3.00
Al 0.2362 0.8424 0.6640  1 Mo 2.72, 7 Al 2.72-3.00
Al 0.2538 0.0000 0.5304  9 Al 2.73-2.99, 1 Mo 2.84
Al 0.8526 0.0000 0.2500  2 Mo 2.58, 6 Al 2.81-2.83
Y 0.0000 0.4687 0.4046  15 Al 3.07-3.42
Al 0.6061 0.8424 0.3360  1 Mo 2.72, 7 Al 2.72-3.00
Al 0.2470 0.4940 0.0000  6 Al 2.73-2.85
Al 0.7462 0.7462 0.5304  9 Al 2.73-2.99, 1 Mo 2.84
Al 0.1594 0.0000 0.3854  2 Mo 2.69-2.70, 7 Al 2.73-2.94
Al 0.2362 0.8424 0.8360  1 Mo 2.72, 7 Al 2.72-3.00